1.
Density functional theory data (PBE-GGA) for a relaxed Sm4MgRu2 crystal.

Unit cell a=7.3747 b=7.3742 c=9.2140 alpha=124.66 beta=110.97 gamma=80.90
Closest atoms and distances in Å follow each position.
Fractional positions:
Sm  0.3673  0.7519  0.9326  3 Ru 2.82-3.00
Ru  0.5723  0.2413  0.1604  1 Mg 2.76, 6 Sm 2.83-3.06, 1 Ru 2.99
Mg  0.1706  0.2065  0.0358  2 Ru 2.76
Sm  0.8617  0.8971  0.0357  4 Ru 2.96-3.01
Sm  0.3961  0.2349  0.4125  3 Ru 2.78-3.06
Ru  0.0807  0.4833  0.9110  1 Mg 2.76, 6 Sm 2.83-3.06, 1 Ru 3.00
Sm  0.4101  0.6568  0.2776  3 Ru 2.83-3.02, 1 Mg 3.12
Sm  0.8724  0.4085  0.5359  4 Ru 2.98-3.10
Mg  0.1727  0.7076  0.5355  7 Sm 3.25-3.37
Ru  0.6800  0.9354  0.2902  7 Sm 2.78-3.10, 1 Ru 2.99
Sm  0.8194  0.5066  0.1387  3 Ru 2.83-3.00
Ru  0.6445  0.4613  0.7810  7 Sm 2.78-3.10, 1 Ru 3.00
Sm  0.3793  0.2037  0.7941  3 Ru 2.83-3.02, 1 Mg 3.12
Sm  0.8228  0.0551  0.6589  3 Ru 2.78-3.06

Magnetic moment in μB per formula unit: 0.0
E_tot in eV per cell: -79.51
D(E_F) in states/eV/atom: 0.7628
Energy of formation in eV per atom: -0.105


2.
Density functional theory data (PBE-GGA) for a relaxed SmMg11Ru crystal.

Unit cell a=5.6898 b=7.6736 c=7.7289 alpha=82.17 beta=68.40 gamma=68.27
Closest atoms and distances in Å follow each position.
Fractional positions:
Mg  0.5000  0.0000  0.5000  8 Mg 2.84-3.14
Mg  0.4920  0.7782  0.2036  1 Ru 2.80, 6 Mg 2.90-3.10
Mg  0.0000  0.0000  0.5000  8 Mg 2.84-3.14
Mg  0.9646  0.3630  0.6690  1 Ru 2.89, 5 Mg 2.97-3.14
Mg  0.6956  0.7782  0.7964  1 Ru 2.80, 6 Mg 2.90-3.10
Mg  0.3044  0.2218  0.2036  1 Ru 2.80, 6 Mg 2.90-3.10
Mg  0.3664  0.6370  0.6690  1 Ru 2.89, 5 Mg 2.97-3.14
Ru  0.5000  0.5000  0.0000  10 Mg 2.80-2.89
Mg  0.0354  0.6370  0.3310  1 Ru 2.89, 5 Mg 2.97-3.14
Sm  0.0000  0.0000  0.0000  18 Mg 3.49-3.86, 2 Ru 3.84
Mg  0.5080  0.2218  0.7964  1 Ru 2.80, 6 Mg 2.90-3.10
Mg  0.0000  0.5000  0.0000  2 Ru 2.84, 8 Mg 2.90-2.99
Mg  0.6336  0.3630  0.3310  1 Ru 2.89, 5 Mg 2.97-3.14

Magnetic moment in μB per formula unit: 0.0
E_tot in eV per cell: -32.09
D(E_F) in states/eV/atom: 0.6613
Energy of formation in eV per atom: -0.042


3.
Density functional theory data (PBE-GGA) for a relaxed SmMg2Ru crystal.

Unit cell a=5.4400 b=8.3352 c=15.5685 alpha=90.00 beta=90.00 gamma=90.00
Closest atoms and distances in Å follow each position.
Fractional positions:
Mg  0.2320  0.4413  0.9593  3 Ru 2.76-2.79, 2 Mg 2.99
Mg  0.9527  0.0569  0.2107  3 Ru 2.76-2.82, 1 Mg 2.99
Sm  0.7516  0.2500  0.3926  3 Ru 2.90-3.03, 2 Mg 3.25
Ru  0.0513  0.7500  0.9348  6 Mg 2.76-2.78, 3 Sm 2.90-2.97
Mg  0.2680  0.4413  0.4593  3 Ru 2.76-2.79, 2 Mg 2.99
Ru  0.2556  0.2500  0.8127  6 Mg 2.76-2.82, 3 Sm 2.91-3.03
Mg  0.2680  0.0587  0.4593  3 Ru 2.76-2.79, 2 Mg 2.99
Ru  0.7556  0.7500  0.6873  6 Mg 2.76-2.82, 3 Sm 2.91-3.03
Sm  0.5545  0.7500  0.8607  3 Ru 2.91-2.97
Ru  0.7444  0.7500  0.1873  6 Mg 2.76-2.82, 3 Sm 2.91-3.03
Mg  0.4527  0.5569  0.2893  3 Ru 2.76-2.82, 1 Mg 2.99
Mg  0.7680  0.5587  0.0407  3 Ru 2.76-2.79, 2 Mg 2.99
Sm  0.4455  0.2500  0.1393  3 Ru 2.91-2.97
Mg  0.5473  0.4431  0.7107  3 Ru 2.76-2.82, 1 Mg 2.99
Sm  0.2516  0.7500  0.1074  3 Ru 2.90-3.03, 2 Mg 3.25
Sm  0.0545  0.2500  0.6393  3 Ru 2.91-2.97
Ru  0.5513  0.2500  0.5652  6 Mg 2.76-2.78, 3 Sm 2.90-2.97
Mg  0.0473  0.5569  0.7893  3 Ru 2.76-2.82, 1 Mg 2.99
Mg  0.2320  0.0587  0.9593  3 Ru 2.76-2.79, 2 Mg 2.99
Mg  0.4527  0.9431  0.2893  3 Ru 2.76-2.82, 1 Mg 2.99
Mg  0.9527  0.4431  0.2107  3 Ru 2.76-2.82, 1 Mg 2.99
Mg  0.7320  0.5587  0.5407  3 Ru 2.76-2.79, 2 Mg 2.99
Ru  0.9487  0.2500  0.0652  6 Mg 2.76-2.78, 3 Sm 2.90-2.97
Mg  0.0473  0.9431  0.7893  3 Ru 2.76-2.82, 1 Mg 2.99
Sm  0.7484  0.2500  0.8926  3 Ru 2.90-3.03, 2 Mg 3.25
Ru  0.4487  0.7500  0.4348  6 Mg 2.76-2.78, 3 Sm 2.90-2.97
Ru  0.2444  0.2500  0.3127  6 Mg 2.76-2.82, 3 Sm 2.91-3.03
Sm  0.2484  0.7500  0.6074  3 Ru 2.90-3.03, 2 Mg 3.25
Sm  0.9455  0.7500  0.3607  3 Ru 2.91-2.97
Mg  0.7680  0.9413  0.0407  3 Ru 2.76-2.79, 2 Mg 2.99
Mg  0.5473  0.0569  0.7107  3 Ru 2.76-2.82, 1 Mg 2.99
Mg  0.7320  0.9413  0.5407  3 Ru 2.76-2.79, 2 Mg 2.99

Magnetic moment in μB per formula unit: 0.0
E_tot in eV per cell: -142.73
D(E_F) in states/eV/atom: 0.7212
Energy of formation in eV per atom: -0.164


4.
Density functional theory data (PBE-GGA) for a relaxed Sm3Mg2Ru crystal.

Unit cell a=8.0083 b=6.5922 c=8.4100 alpha=85.41 beta=82.43 gamma=52.60
Closest atoms and distances in Å follow each position.
Fractional positions:
Sm  0.9091  0.6316  0.2166  2 Ru 2.76-2.83
Ru  0.2741  0.4518  0.0000  6 Sm 2.76-2.92, 1 Mg 2.87
Sm  0.4593  0.6316  0.7834  2 Ru 2.76-2.83
Sm  0.0909  0.3684  0.7834  2 Ru 2.76-2.83
Sm  0.5407  0.3684  0.2166  2 Ru 2.76-2.83
Mg  0.8610  0.2781  0.5000  1 Mg 2.91
Mg  0.1390  0.7219  0.5000  1 Mg 2.91
Mg  0.0000  0.0000  0.0000  2 Ru 2.87, 2 Sm 3.19
Sm  0.3406  0.0000  0.1584  2 Ru 2.92, 1 Mg 3.19
Mg  0.5000  0.0000  0.5000  6 Sm 3.29-3.39
Sm  0.6594  0.0000  0.8416  2 Ru 2.92, 1 Mg 3.19
Ru  0.7259  0.5482  0.0000  6 Sm 2.76-2.92, 1 Mg 2.87

Magnetic moment in μB per formula unit: 0.0
E_tot in eV per cell: -53.55
D(E_F) in states/eV/atom: 0.8304
Energy of formation in eV per atom: -0.026


Q: E_tot of number 1 (Sm4MgRu2)?
A: -79.51 eV per cell


Q: Look up the E_tot of the third one.
A: -142.73 eV per cell


Q: Among the records above, which one has the highest D(E_F)?
A: Sm3Mg2Ru